No. 1
Density functional theory data (PBE-GGA) for crystalline Zr2CuSi at its relaxed geometry.

Calculated values
For the total moment, the calculation gives 0.000 μB/f.u. For the uncorrected formation energy, the calculation gives -0.014 eV per atom. The density of states at the Fermi level comes out at 1.1431 states/eV/atom.

a b c (Å): 3.1225 3.1225 26.5737
angles (deg): 90.00 90.00 120.00
Space group R-3m (No. 166, hexagonal axes)
Symmetry-distinct sites (fractional):
Zr1 0.0000 0.0000 0.2486
Cu1 0.0000 0.0000 0.5000
Si1 0.0000 0.0000 0.0000

=====

No. 2
Density functional theory data (PBE-GGA) for crystalline Zr2CuSi at its relaxed geometry.

Calculated values
For the total moment, the calculation gives 0.000 μB/f.u. For the uncorrected formation energy, the calculation gives -0.404 eV per atom. The density of states at the Fermi level comes out at 0.7362 states/eV/atom.

a b c (Å): 4.324 4.324 7.509
angles (deg): 90.00 90.00 90.00
Space group I4/mmm (No. 139)
Symmetry-distinct sites (fractional):
Zr1 0.000 0.500 0.250
Cu1 0.000 0.000 0.000
Si1 0.000 0.000 0.500

=====

No. 3
Density functional theory data (PBE-GGA) for crystalline Zr2Cu2Si at its relaxed geometry.

Calculated values
For the total moment, the calculation gives 0.000 μB/f.u. For the uncorrected formation energy, the calculation gives -0.334 eV per atom. For the distance to the lowest polymorph of the same formula, the calculation gives 0.000 eV/atom. The density of states at the Fermi level comes out at 0.3145 states/eV/atom.

a b c (Å): 6.373 6.373 4.111
angles (deg): 90.00 90.00 90.00
Space group P4/mbm (No. 127)
Symmetry-distinct sites (fractional):
Zr1 0.171 0.329 0.000
Cu1 0.135 0.635 0.500
Si1 0.000 0.000 0.500